Entry 1:
Material: Hf3InBi
Method: DFT, GGA-PBE
State: relaxed

Properties
**Total DFT energy (no corrections)**: -7.3639 eV/atom
**Formation energy from the elements**: -0.068 eV per atom
**Symmetry**: C2/c
**Total magnetic moment**: 0.000 μB per cell

Cell and atoms, written as POSCAR:
```
Hf3InBi
1.0
10.281 1.749 1.377
3.937 7.459 0.209
3.937 1.956 7.201
Hf In Bi
12 4 4
Direct
0.599 0.775 0.050 Hf
0.572 0.369 0.205 Hf
0.428 0.631 0.795 Hf
0.426 0.060 0.364 Hf
0.074 0.636 0.940 Hf
0.574 0.940 0.636 Hf
0.901 0.950 0.225 Hf
0.926 0.364 0.060 Hf
0.401 0.225 0.950 Hf
0.928 0.795 0.631 Hf
0.072 0.205 0.369 Hf
0.099 0.050 0.775 Hf
0.750 0.665 0.335 In
0.250 0.335 0.665 In
0.250 0.955 0.045 In
0.750 0.045 0.955 In
0.800 0.480 0.751 Bi
0.700 0.249 0.520 Bi
0.200 0.520 0.249 Bi
0.300 0.751 0.480 Bi
```

Entry 2:
Material: AlTc8
Method: DFT, GGA-PBE
State: relaxed

Properties
**Total DFT energy (no corrections)**: -9.6630 eV/atom
**Formation energy from the elements**: -0.033 eV per atom
**Symmetry**: I4/mmm
**Total magnetic moment**: 0.000 μB per cell

Cell and atoms, written as POSCAR:
```
AlTc8
1.0
-4.108 4.108 1.950
4.108 -4.108 1.950
4.108 4.108 -1.950
Tc Al
8 1
Direct
0.000 0.661 0.661 Tc
0.671 0.671 0.342 Tc
0.661 0.000 0.661 Tc
0.000 0.339 0.339 Tc
0.329 0.671 0.000 Tc
0.671 0.329 0.000 Tc
0.329 0.329 0.658 Tc
0.339 0.000 0.339 Tc
0.000 0.000 0.000 Al
```

Entry 3:
Material: TbDy5Tm7
Method: DFT, GGA-PBE
State: relaxed

Properties
**Total DFT energy (no corrections)**: -4.2722 eV/atom
**Formation energy from the elements**: 0.262 eV per atom
**Symmetry**: Imm2
**Total magnetic moment**: 0.000 μB per cell

Cell and atoms, written as POSCAR:
```
TbDy5Tm7
1.0
6.228 0.000 2.282
2.971 7.890 1.532
0.396 -0.079 8.559
Dy Tm Tb
5 7 1
Direct
0.769 0.731 0.731 Dy
0.999 0.005 0.458 Dy
0.537 0.458 0.005 Dy
0.999 0.458 0.005 Dy
0.537 0.005 0.458 Dy
0.518 0.152 0.813 Tm
0.269 0.231 0.231 Tm
0.020 0.311 0.649 Tm
0.577 0.423 0.423 Tm
0.020 0.649 0.311 Tm
0.271 0.729 0.729 Tm
0.518 0.813 0.152 Tm
0.966 0.034 0.034 Tb
```

Entry 4:
Material: Na2Ac12Ge5
Method: DFT, GGA-PBE
State: relaxed

Properties
**Total DFT energy (no corrections)**: -4.1200 eV/atom
**Formation energy from the elements**: -0.171 eV per atom
**Symmetry**: C2/m
**Total magnetic moment**: 0.001 μB per cell

Cell and atoms, written as POSCAR:
```
Na2Ac12Ge5
1.0
-0.980 6.231 4.947
-7.780 -2.054 -5.449
-2.002 -6.497 7.786
Ge Na Ac
5 2 12
Direct
0.659 0.319 0.851 Ge
0.706 0.413 0.368 Ge
0.000 0.000 0.500 Ge
0.294 0.587 0.632 Ge
0.341 0.681 0.149 Ge
0.333 0.000 0.000 Na
0.667 0.000 0.000 Na
0.900 0.292 0.571 Ac
0.481 0.963 0.692 Ac
0.392 0.292 0.571 Ac
0.100 0.708 0.429 Ac
0.978 0.957 0.197 Ac
0.060 0.630 0.873 Ac
0.570 0.630 0.873 Ac
0.608 0.708 0.429 Ac
0.022 0.043 0.803 Ac
0.519 0.037 0.308 Ac
0.940 0.370 0.127 Ac
0.430 0.370 0.127 Ac
```

Entry 5:
Material: LiHoU2S4
Method: DFT, GGA-PBE
State: relaxed

Properties
**Total DFT energy (no corrections)**: -7.2242 eV/atom
**Uncorrected formation energy**: -1527.0 meV/atom
**Symmetry**: P2/m
**Total magnetic moment**: 5.616 μB per cell

Cell and atoms, written as POSCAR:
```
LiHoU2S4
1.0
3.788 0.000 0.000
0.000 6.546 0.107
0.000 -2.297 6.507
S Li Ho U
4 1 1 2
Direct
0.500 0.254 0.240 S
0.000 0.260 0.762 S
0.500 0.746 0.760 S
0.000 0.740 0.238 S
0.500 0.500 0.000 Li
0.000 0.000 0.000 Ho
0.500 0.000 0.500 U
0.000 0.500 0.500 U
```

Entry 6:
Material: La2PmNdEr2
Method: DFT, GGA-PBE
State: relaxed

Properties
**Total DFT energy (no corrections)**: -4.6788 eV/atom
**Formation energy from the elements**: 0.071 eV per atom
**Symmetry**: Pmc2_1
**Total magnetic moment**: 0.000 μB per cell

Cell and atoms, written as POSCAR:
```
La2PmNdEr2
1.0
5.674 0.000 0.000
0.000 6.965 0.000
0.000 0.000 10.422
La Er Pm Nd
4 4 2 2
Direct
0.000 0.329 0.199 La
0.500 0.558 0.975 La
0.000 0.829 0.801 La
0.500 0.058 0.025 La
0.500 0.199 0.372 Er
0.500 0.699 0.628 Er
0.000 0.817 0.132 Er
0.000 0.317 0.868 Er
0.000 0.952 0.472 Pm
0.000 0.452 0.528 Pm
0.500 0.191 0.693 Nd
0.500 0.691 0.307 Nd
```

What is the formula in the fifth record?
LiHoU2S4

What is the total DFT energy (no corrections) in the sixth record?
-4.6788 eV/atom

What did the second record say?
Material: AlTc8
Method: DFT, GGA-PBE
State: relaxed

Properties
**Total DFT energy (no corrections)**: -9.6630 eV/atom
**Formation energy from the elements**: -0.033 eV per atom
**Symmetry**: I4/mmm
**Total magnetic moment**: 0.000 μB per cell

Cell and atoms, written as POSCAR:
```
AlTc8
1.0
-4.108 4.108 1.950
4.108 -4.108 1.950
4.108 4.108 -1.950
Tc Al
8 1
Direct
0.000 0.661 0.661 Tc
0.671 0.671 0.342 Tc
0.661 0.000 0.661 Tc
0.000 0.339 0.339 Tc
0.329 0.671 0.000 Tc
0.671 0.329 0.000 Tc
0.329 0.329 0.658 Tc
0.339 0.000 0.339 Tc
0.000 0.000 0.000 Al
```

What is the formula in the fifth record?
LiHoU2S4